Material: HfAsIr3
Method: DFT, GGA-PBEsol
State: optimized geometry

```
HfAsIr3
1.0
4.7559 0.0000 0.0000
0.0000 4.7559 0.0000
0.0000 0.0000 4.7559
Hf As Ir
1 1 3
Cartesian
0.0000 0.0000 0.0000
2.3779 2.3779 2.3779
0.0000 0.0000 2.3779
0.0000 2.3779 0.0000
2.3779 0.0000 0.0000
```

Results
size of the total moment: 0.001 μB per atom
energy of formation: 1.74 eV per atom